Entry 1:
# SiBiS2 GGA-PBE relaxed
# Energy above the most stable polymorph in this dataset in eV per atom: 0.512
data_SiBiS2
_space_group_name_H-M_alt 'F m -3 m'
_space_group_IT_number 225
_space_group_name_Hall '-F 4 2 3'
_cell_length_a 6.8447
_cell_length_b 6.8447
_cell_length_c 6.8447
_cell_angle_alpha 90.00
_cell_angle_beta 90.00
_cell_angle_gamma 90.00
loop_
_atom_site_label
_atom_site_type_symbol
_atom_site_fract_x
_atom_site_fract_y
_atom_site_fract_z
_atom_site_occupancy
Si1 Si 0.0000 0.0000 0.0000 1
Bi1 Bi 0.0000 0.0000 0.5000 1
S1 S 0.2500 0.2500 0.2500 1



Entry 2:
First-principles (GGA-PBE) data for crystalline RbGa2Br6 at its relaxed geometry, as listed in Alexandria.

CIF file:
```
data_RbGa2Br6
_space_group_name_H-M_alt 'C 1 2/c 1'
_space_group_IT_number 15
_space_group_name_Hall '-C 2yc'
_cell_length_a 15.7554
_cell_length_b 13.7183
_cell_length_c 8.3408
_cell_angle_alpha 90.00
_cell_angle_beta 114.25
_cell_angle_gamma 90.00
loop_
_atom_site_label
_atom_site_type_symbol
_atom_site_fract_x
_atom_site_fract_y
_atom_site_fract_z
_atom_site_occupancy
Rb1 Rb 0.0000 0.1565 0.2500 1
Ga1 Ga 0.2179 0.4196 0.2020 1
Br1 Br 0.1168 0.0566 0.6751 1
Br2 Br 0.1520 0.4997 0.4014 1
Br3 Br 0.1869 0.2486 0.1832 1
```



no.,ΔE_f (raw) (meV/atom),raw total energy (eV/cell),calculated volume (Å³/atom)
1,242,-66.37,20.042
2,-949,-102.41,45.659